1.
The following is a PBE calculation of a relaxed structure of AcTlGa3, from Alexandria.

Summary:
* energy relative to the elements: -354 meV per atom
* N(E_F): 0.390 states/eV/atom
* total magnetization: 0.0 μB per cell

Cell: 12.3543 12.3543 4.4332 Å, 90.00 90.00 158.00°
Last column: nearest neighbours and their distance in Å.
Sites, in units of the cell vectors:
Ac: 0.0773 0.9227 0.7500  12 Ga 3.42-3.48, 2 Tl 3.78
Ac: 0.9227 0.0773 0.2500  12 Ga 3.42-3.48, 2 Tl 3.78
Tl: 0.2038 0.7962 0.2500  3 Ga 2.75-2.99
Tl: 0.7962 0.2038 0.7500  3 Ga 2.75-2.99
Ga: 0.3172 0.6828 0.2500  2 Ga 2.58, 1 Tl 2.75
Ga: 0.3717 0.6283 0.7500  3 Ga 2.51-2.58
Ga: 0.4752 0.5248 0.7500  3 Ga 2.51-2.52
Ga: 0.5248 0.4752 0.2500  3 Ga 2.51-2.52
Ga: 0.6283 0.3717 0.2500  3 Ga 2.51-2.58
Ga: 0.6828 0.3172 0.7500  2 Ga 2.58, 1 Tl 2.75

---

2.
The following is a PBE calculation of a relaxed structure of Ac2TlGa, from Alexandria.

Summary:
* energy relative to the elements: -393 meV per atom
* N(E_F): 0.720 states/eV/atom
* total magnetization: 0.0 μB per cell

Cell: 3.9681 3.9681 8.3261 Å, 90.00 90.00 90.00°
Last column: nearest neighbours and their distance in Å.
Sites, in units of the cell vectors:
Ac: 0.0000 0.0000 0.2321  4 Ga 3.41, 4 Tl 3.58
Ac: 0.0000 0.0000 0.7679  4 Ga 3.41, 4 Tl 3.58
Tl: 0.5000 0.5000 0.5000  8 Ac 3.58, 4 Tl 3.97
Ga: 0.5000 0.5000 0.0000  8 Ac 3.41

---

3.
The following is a PBE calculation of a relaxed structure of Ac5TlGa4, from Alexandria.

Summary:
* energy relative to the elements: -422 meV per atom
* N(E_F): 0.812 states/eV/atom
* total magnetization: 0.0 μB per cell

Cell: 3.9395 3.9395 20.1459 Å, 90.00 90.00 90.00°
Last column: nearest neighbours and their distance in Å.
Sites, in units of the cell vectors:
Ac: 0.0000 0.0000 0.0000  8 Ga 3.40
Ac: 0.0000 0.0000 0.1940  8 Ga 3.41
Ac: 0.0000 0.0000 0.3872  4 Ga 3.39, 4 Tl 3.59
Ac: 0.0000 0.0000 0.6128  4 Ga 3.39, 4 Tl 3.59
Ac: 0.0000 0.0000 0.8060  8 Ga 3.41
Tl: 0.5000 0.5000 0.5000  8 Ac 3.59, 4 Tl 3.94
Ga: 0.5000 0.5000 0.0967  8 Ac 3.40-3.41
Ga: 0.5000 0.5000 0.2913  8 Ac 3.39-3.41
Ga: 0.5000 0.5000 0.7087  8 Ac 3.39-3.41
Ga: 0.5000 0.5000 0.9033  8 Ac 3.40-3.41

---

4.
The following is a PBE calculation of a relaxed structure of Ac2TlGa, from Alexandria.

Summary:
* energy relative to the elements: -408 meV per atom
* N(E_F): 1.019 states/eV/atom
* total magnetization: 0.0 μB per cell

Cell: 6.6052 4.5316 9.5529 Å, 90.00 108.01 90.00°
Last column: nearest neighbours and their distance in Å.
Sites, in units of the cell vectors:
Ac: 0.1966 0.2500 0.4216  3 Ga 3.37-3.62, 4 Tl 3.48-3.55
Ac: 0.2779 0.7500 0.0619  4 Ga 3.37-3.65, 3 Tl 3.48-3.58
Ac: 0.7221 0.2500 0.9381  4 Ga 3.37-3.65, 3 Tl 3.48-3.58
Ac: 0.8034 0.7500 0.5784  3 Ga 3.37-3.62, 4 Tl 3.48-3.55
Tl: 0.3689 0.7500 0.7115  2 Ga 2.92
Tl: 0.6311 0.2500 0.2885  2 Ga 2.92
Ga: 0.1432 0.2500 0.7872  2 Tl 2.92
Ga: 0.8568 0.7500 0.2128  2 Tl 2.92